[1]
Computed, not measured: a geometry-optimized Ti2MnZn8 structure at the PBE level of DFT.

Output
Formation energy: -0.049 eV/atom
Spin magnetization: 3.71 μB per cell
DFT total energy: -3.245 eV per atom
Space-group type: C2/m (12)

Unit cell a=7.308 b=7.308 c=5.929 alpha=103.10 beta=103.10 gamma=32.13
Fractional coordinates of all 11 atoms:
Ti: 0.226 0.226 0.144
Ti: 0.774 0.774 0.856
Mn: 0.500 0.500 0.500
Zn: 0.034 0.034 0.226
Zn: 0.139 0.139 0.665
Zn: 0.327 0.327 0.604
Zn: 0.409 0.409 0.047
Zn: 0.591 0.591 0.953
Zn: 0.673 0.673 0.396
Zn: 0.861 0.861 0.335
Zn: 0.966 0.966 0.774

[2]
Computed, not measured: a geometry-optimized TiMnZn6 structure at the PBE level of DFT.

Output
Formation energy: -0.111 eV/atom
Spin magnetization: 2.44 μB per cell
DFT total energy: -3.200 eV per atom
Space-group type: P4/mmm (123)

Unit cell a=3.955 b=3.955 c=7.404 alpha=90.00 beta=90.00 gamma=90.00
Fractional coordinates of all 8 atoms:
Ti: 0.000 0.000 0.000
Mn: 0.000 0.000 0.500
Zn: 0.000 0.500 0.257
Zn: 0.000 0.500 0.743
Zn: 0.500 0.000 0.257
Zn: 0.500 0.000 0.743
Zn: 0.500 0.500 0.000
Zn: 0.500 0.500 0.500

[3]
Computed, not measured: a geometry-optimized Ti5Mn4Zn structure at the PBE level of DFT.

Output
Formation energy: -0.250 eV/atom
Spin magnetization: 1.79 μB per cell
DFT total energy: -7.992 eV per atom
Space-group type: P4/mmm (123)

Unit cell a=3.007 b=3.007 c=15.264 alpha=90.00 beta=90.00 gamma=90.00
Fractional coordinates of all 10 atoms:
Ti: 0.000 0.000 0.000
Ti: 0.000 0.000 0.196
Ti: 0.000 0.000 0.384
Ti: 0.000 0.000 0.616
Ti: 0.000 0.000 0.804
Mn: 0.500 0.500 0.097
Mn: 0.500 0.500 0.295
Mn: 0.500 0.500 0.705
Mn: 0.500 0.500 0.903
Zn: 0.500 0.500 0.500

[4]
Computed, not measured: a geometry-optimized TiMn3Zn structure at the PBE level of DFT.

Output
Formation energy: 0.971 eV/atom
Spin magnetization: 8.73 μB per cell
DFT total energy: -6.364 eV per atom
Space-group type: Pm-3m (221)

Unit cell a=4.523 b=4.523 c=4.523 alpha=90.00 beta=90.00 gamma=90.00
Fractional coordinates of all 5 atoms:
Ti: 0.000 0.000 0.000
Mn: 0.000 0.500 0.500
Mn: 0.500 0.000 0.500
Mn: 0.500 0.500 0.000
Zn: 0.500 0.500 0.500

[5]
Computed, not measured: a geometry-optimized TiMn4Zn structure at the PBE level of DFT.

Output
Formation energy: -0.055 eV/atom
Spin magnetization: 1.05 μB per cell
DFT total energy: -7.696 eV per atom
Space-group type: F-43m (216)

Unit cell a=4.715 b=4.715 c=4.715 alpha=60.00 beta=60.00 gamma=60.00
Fractional coordinates of all 6 atoms:
Ti: 0.000 0.000 0.000
Mn: 0.127 0.624 0.624
Mn: 0.624 0.127 0.624
Mn: 0.624 0.624 0.127
Mn: 0.624 0.624 0.624
Zn: 0.250 0.250 0.250

[6]
Computed, not measured: a geometry-optimized Ti5MnZn2 structure at the PBE level of DFT.

Output
Formation energy: -0.113 eV/atom
Spin magnetization: 0.01 μB per cell
DFT total energy: -6.512 eV per atom
Space-group type: I4/mmm (139)

Unit cell a=4.470 b=4.470 c=12.270 alpha=90.00 beta=90.00 gamma=90.00
Fractional coordinates of all 16 atoms:
Ti: 0.000 0.000 0.000
Ti: 0.000 0.500 0.118
Ti: 0.000 0.500 0.382
Ti: 0.000 0.500 0.618
Ti: 0.000 0.500 0.882
Ti: 0.500 0.000 0.118
Ti: 0.500 0.000 0.382
Ti: 0.500 0.000 0.618
Ti: 0.500 0.000 0.882
Ti: 0.500 0.500 0.500
Mn: 0.000 0.000 0.500
Mn: 0.500 0.500 0.000
Zn: 0.000 0.000 0.250
Zn: 0.000 0.000 0.750
Zn: 0.500 0.500 0.250
Zn: 0.500 0.500 0.750

- Which value of spin magnetization does entry 5 give?
  1.05 μB per cell

- The lowest formation energy belongs to which entry?
  Ti5Mn4Zn

- Look up the spin magnetization of the fifth one.
  1.05 μB per cell

- Which of these has the lowest DFT total energy?
  Ti5Mn4Zn